one:
The following is a GGA-PBE calculation of a relaxed structure of Tb2GaTe, from Alexandria via LeMat-Bulk.

abc: 3.700 3.700 7.514
angles: 90.00 90.00 90.00
Sites, in units of the cell vectors:
Tb (0.000, 0.000, 0.758)
Tb (0.000, 0.000, 0.242)
Te (0.500, 0.500, 0.500)
Ga (0.500, 0.500, 0.000)

Computed properties:
The total magnetic moment comes out at 0.0000 μB per atom. The symmetry is No. 123. The density of states at the Fermi level comes out at 2.868 states/eV/f.u. As for the crystal system: tetragonal.

two:
The following is a GGA-PBE calculation of a relaxed structure of Tb2GaTe, from Alexandria via LeMat-Bulk.

abc: 4.044 4.044 8.358
angles: 76.00 76.00 60.00
Sites, in units of the cell vectors:
Ga (0.499, 0.499, 0.502)
Tb (0.248, 0.248, 0.256)
Tb (0.085, 0.085, 0.745)
Te (0.668, 0.668, 0.996)

Computed properties:
The total magnetic moment comes out at 0.0001 μB per atom. The symmetry is No. 160. The density of states at the Fermi level comes out at 2.722 states/eV/f.u. As for the crystal system: trigonal.

Relative energies, in meV per atom, with the most stable structure set to zero: one 21; two 0.

one:
The following is a GGA-PBE calculation of a relaxed structure of Tb2ThGa6, from Alexandria via LeMat-Bulk.

abc: 4.171 7.348 7.348
angles: 120.00 90.00 90.00
Sites, in units of the cell vectors:
Ga (0.500, 0.335, 0.335)
Ga (0.500, 0.000, 0.665)
Ga (0.500, 0.000, 0.335)
Ga (0.500, 0.665, 0.000)
Ga (0.500, 0.665, 0.665)
Ga (0.500, 0.335, 0.000)
Tb (0.000, 0.667, 0.333)
Tb (0.000, 0.333, 0.667)
Th (0.000, 0.000, 0.000)

Computed properties:
The total magnetic moment comes out at 0.0000 μB per atom. The symmetry is No. 191. The density of states at the Fermi level comes out at 5.692 states/eV/f.u. As for the crystal system: hexagonal.

two:
The following is a GGA-PBE calculation of a relaxed structure of Tb2ThGa6, from Alexandria via LeMat-Bulk.

abc: 4.296 7.129 7.892
angles: 116.85 105.79 90.00
Sites, in units of the cell vectors:
Ga (0.678, 0.489, 0.356)
Ga (0.322, 0.511, 0.644)
Ga (0.678, 0.867, 0.356)
Ga (0.322, 0.133, 0.644)
Ga (0.500, 0.181, 0.000)
Ga (0.500, 0.819, 0.000)
Tb (0.130, 0.130, 0.260)
Tb (0.870, 0.870, 0.740)
Th (0.000, 0.500, 0.000)

Computed properties:
The total magnetic moment comes out at 0.0000 μB per atom. The symmetry is No. 71. The density of states at the Fermi level comes out at 7.166 states/eV/f.u. As for the crystal system: orthorhombic.

Relative energies, in meV per atom, with the most stable structure set to zero: one 0; two 224.